# 1
Na2Sr2Ca PBE relaxed; formation energy from the elements = 0.113 eV/atom; D(E_F) = 1.01 states/eV/atom; space group = I4/mmm (139); crystal system = tetragonal
1.0
-0.8819 1.4162 4.1359
-2.5982 -3.5629 0.6660
7.5144 -7.0692 6.4274
Sr Na Ca
2 2 1
Cartesian
0.2620 -2.3705 3.2720
3.7723 -6.8455 7.9573
1.5881 -5.8528 4.7472
2.4462 -3.3632 6.4821
0.0000 0.0000 0.0000

***

# 2
EuHoHgBi PBE relaxed; formation energy from the elements = -0.542 eV/atom; D(E_F) = 0.98 states/eV/atom; space group = F-43m (216); crystal system = cubic
1.0
-4.1641 0.7058 -3.4856
-0.8676 -3.6363 -4.0014
-4.3457 -3.3249 0.2168
Eu Bi Ho Hg
1 1 1 1
Cartesian
-4.6887 -3.1277 -3.6351
-2.3443 -1.5638 -1.8176
0.0000 0.0000 0.0000
-7.0330 -4.6915 -5.4527

***

# 3
Pm3Nd2Tm3 PBE relaxed; formation energy from the elements = 0.132 eV/atom; D(E_F) = 1.43 states/eV/atom; space group = Cmcm (63); crystal system = orthorhombic
1.0
-2.7815 -2.9915 -3.8525
6.2381 1.5094 -1.5841
5.0137 -13.5100 6.8707
Pm Nd Tm
6 4 6
Cartesian
3.7281 -8.0305 3.5440
4.7422 -6.9616 -2.1100
5.2867 -12.2303 5.6799
2.1131 -4.8669 -1.8383
3.1836 -2.7618 -4.2458
6.3572 -10.1251 3.2724
2.7550 -1.7102 -0.6611
4.4822 -9.9592 0.4054
5.7153 -13.2818 2.0952
3.9881 -5.0328 1.0286
6.4637 -7.4208 1.0955
8.4686 -12.8233 3.8430
2.0066 -7.5713 0.3385
5.6899 -3.3650 -1.4951
2.7805 -11.6271 2.9292
0.0017 -2.1688 -2.4090

***

# 4
Sc2BeAgN PBE relaxed; D(E_F) = 0.50 states/eV/atom; space group = P4/mmm (123); crystal system = tetragonal; ΔE_f (raw) = -67.3 kJ/mol of atoms
1.0
4.6457 0.0000 0.0000
0.0000 4.6457 0.0000
0.0000 0.0000 3.3813
Sc Ag N Be
2 1 1 1
Cartesian
2.3228 0.0000 0.0000
0.0000 2.3228 0.0000
2.3228 2.3228 1.6906
0.0000 0.0000 0.0000
0.0000 0.0000 1.6906